(1)
Mo2HCl after structural relaxation, computed with PBE.

Cell: 4.736 4.736 10.108 Å, 90.00 90.00 90.00°
Space group I-42d (No. 122)
Inequivalent atoms, fractional coordinates:
Mo1 0.134 0.250 0.125
H1 0.000 0.000 0.000
Cl1 0.000 0.000 0.500

Summary:
The value obtained for the total magnetization is 0.000 μB per cell. Its density of states at the Fermi level is 11.1 states/eV per cell. The distance to the lowest polymorph of the same formula is 0.0 meV/atom. Its electronic total energy is -6.18 eV/atom.

---

(2)
MoHCl2 after structural relaxation, computed with PBE.

Cell: 5.969 5.969 5.969 Å, 90.00 90.00 90.00°
Space group Fm-3m (No. 225)
Inequivalent atoms, fractional coordinates:
Mo1 0.000 0.000 0.000
H1 0.000 0.000 0.500
Cl1 0.250 0.250 0.250

Summary:
The value obtained for the total magnetization is 0.000 μB per cell. Its density of states at the Fermi level is 5.7 states/eV per cell. The distance to the lowest polymorph of the same formula is 296.7 meV/atom. Its electronic total energy is -3.94 eV/atom.

---

(3)
MoHCl3 after structural relaxation, computed with PBE.

Cell: 6.920 12.689 11.799 Å, 90.00 90.29 90.00°
Space group C2/c (No. 15)
Inequivalent atoms, fractional coordinates:
Mo1 0.062 0.024 0.151
H1 0.105 0.110 0.280
Cl1 0.121 0.112 0.503
Cl2 0.167 0.381 0.895
Cl3 0.225 0.086 0.791

Summary:
The value obtained for the total magnetization is 8.000 μB per cell. Its density of states at the Fermi level is 1.7 states/eV per cell. The distance to the lowest polymorph of the same formula is 0.0 meV/atom. Its electronic total energy is -4.58 eV/atom.

---

(4)
MoH3Cl after structural relaxation, computed with PBE.

Cell: 3.727 3.727 3.727 Å, 90.00 90.00 90.00°
Space group Pm-3m (No. 221)
Inequivalent atoms, fractional coordinates:
Mo1 0.000 0.000 0.000
H1 0.000 0.500 0.500
Cl1 0.500 0.500 0.500

Summary:
The value obtained for the total magnetization is 3.537 μB per cell. Its density of states at the Fermi level is 2.1 states/eV per cell. The distance to the lowest polymorph of the same formula is 1034.2 meV/atom. Its electronic total energy is -2.91 eV/atom.

---

(5)
MoH2Cl2 after structural relaxation, computed with PBE.

Cell: 4.369 4.369 6.102 Å, 90.00 90.00 90.00°
Space group I4/mmm (No. 139)
Inequivalent atoms, fractional coordinates:
Mo1 0.000 0.000 0.000
H1 0.000 0.000 0.438
Cl1 0.000 0.500 0.250

Summary:
The value obtained for the total magnetization is 0.000 μB per cell. Its density of states at the Fermi level is 0.0 states/eV per cell. The distance to the lowest polymorph of the same formula is 0.0 meV/atom. Its electronic total energy is -4.04 eV/atom.

---

(6)
MoHCl3 after structural relaxation, computed with PBE.

Cell: 4.928 4.928 4.928 Å, 90.00 90.00 90.00°
Space group Pm-3m (No. 221)
Inequivalent atoms, fractional coordinates:
Mo1 0.000 0.000 0.000
H1 0.500 0.500 0.500
Cl1 0.000 0.000 0.500

Summary:
The value obtained for the total magnetization is 4.000 μB per cell. Its density of states at the Fermi level is 2.4 states/eV per cell. The distance to the lowest polymorph of the same formula is 644.1 meV/atom. Its electronic total energy is -3.93 eV/atom.

---

What did the fifth record say?
MoH2Cl2 after structural relaxation, computed with PBE.

Cell: 4.369 4.369 6.102 Å, 90.00 90.00 90.00°
Space group I4/mmm (No. 139)
Inequivalent atoms, fractional coordinates:
Mo1 0.000 0.000 0.000
H1 0.000 0.000 0.438
Cl1 0.000 0.500 0.250

Summary:
The value obtained for the total magnetization is 0.000 μB per cell. Its density of states at the Fermi level is 0.0 states/eV per cell. The distance to the lowest polymorph of the same formula is 0.0 meV/atom. Its electronic total energy is -4.04 eV/atom.

---

What did the third record say?
MoHCl3 after structural relaxation, computed with PBE.

Cell: 6.920 12.689 11.799 Å, 90.00 90.29 90.00°
Space group C2/c (No. 15)
Inequivalent atoms, fractional coordinates:
Mo1 0.062 0.024 0.151
H1 0.105 0.110 0.280
Cl1 0.121 0.112 0.503
Cl2 0.167 0.381 0.895
Cl3 0.225 0.086 0.791

Summary:
The value obtained for the total magnetization is 8.000 μB per cell. Its density of states at the Fermi level is 1.7 states/eV per cell. The distance to the lowest polymorph of the same formula is 0.0 meV/atom. Its electronic total energy is -4.58 eV/atom.

---

Q: Number 5 is which compound?
A: MoH2Cl2

---

Q: Which value of distance to the lowest polymorph of the same formula does entry 6 give?
A: 644.1 meV/atom